[1]
The following is a DFT calculation (PBE-GGA) of crystalline TbSm4 at its relaxed geometry.

Geometry as extended XYZ:
```
10
Lattice="6.2607 0.0000 0.0000 0.0000 3.6138 0.0000 -2.0693 0.0000 14.7220" Properties=species:S:1:pos:R:3 pbc="T T T"
Tb 0.0000 0.0000 0.0000
Tb 3.1304 1.8069 0.0000
Sm -1.0309 1.8069 11.8046
Sm 0.0137 0.0000 8.8402
Sm 1.0474 1.8069 5.8818
Sm 2.0919 0.0000 2.9174
Sm 2.0995 0.0000 11.8046
Sm 3.1440 1.8069 8.8402
Sm 4.1777 0.0000 5.8818
Sm 5.2223 1.8069 2.9174
```

Properties
* spin magnetization: 0.00 μB/f.u.
* DFT total energy: -4.69 eV/atom

=====

[2]
The following is a DFT calculation (PBE-GGA) of crystalline TbSm4 at its relaxed geometry.

Geometry as extended XYZ:
```
10
Lattice="3.6147 0.0000 0.0000 0.0000 3.6147 0.0000 0.0000 0.0000 25.5724" Properties=species:S:1:pos:R:3 pbc="T T T"
Tb 0.0000 0.0000 0.0000
Tb 1.8074 1.8074 12.7862
Sm 0.0000 0.0000 5.1038
Sm 0.0000 0.0000 10.2529
Sm 0.0000 0.0000 15.3195
Sm 0.0000 0.0000 20.4686
Sm 1.8074 1.8074 2.5333
Sm 1.8074 1.8074 7.6824
Sm 1.8074 1.8074 17.8900
Sm 1.8074 1.8074 23.0391
```

Properties
* spin magnetization: 0.00 μB/f.u.
* DFT total energy: -4.69 eV/atom

=====

[3]
The following is a DFT calculation (PBE-GGA) of crystalline TbSm3 at its relaxed geometry.

Geometry as extended XYZ:
```
4
Lattice="5.1042 0.0000 0.0000 0.0000 5.1042 0.0000 0.0000 0.0000 5.1042" Properties=species:S:1:pos:R:3 pbc="T T T"
Tb 0.0000 0.0000 0.0000
Sm 0.0000 2.5521 2.5521
Sm 2.5521 0.0000 2.5521
Sm 2.5521 2.5521 0.0000
```

Properties
* spin magnetization: 0.00 μB/f.u.
* DFT total energy: -4.68 eV/atom

=====

[4]
The following is a DFT calculation (PBE-GGA) of crystalline TbSm3 at its relaxed geometry.

Geometry as extended XYZ:
```
8
Lattice="3.6584 0.0000 0.0000 0.0000 11.6278 0.0000 0.0000 0.0000 6.3282" Properties=species:S:1:pos:R:3 pbc="T T T"
Tb 0.0000 0.0000 0.0000
Tb 1.8292 5.8139 3.1641
Sm 0.0000 2.9184 4.2338
Sm 0.0000 5.8139 0.0070
Sm 0.0000 8.7094 4.2338
Sm 1.8292 0.0000 3.1711
Sm 1.8292 2.8955 1.0697
Sm 1.8292 8.7323 1.0697
```

Properties
* spin magnetization: 0.00 μB/f.u.
* DFT total energy: -4.67 eV/atom

=====

[5]
The following is a DFT calculation (PBE-GGA) of crystalline TbSm2 at its relaxed geometry.

Geometry as extended XYZ:
```
12
Lattice="3.5029 0.0000 0.0000 0.0000 3.5029 0.0000 0.0000 0.0000 33.0721" Properties=species:S:1:pos:R:3 pbc="T T T"
Tb 0.0000 0.8757 12.4021
Tb 0.0000 2.6272 20.6701
Tb 1.7515 0.8757 4.1340
Tb 1.7515 2.6272 28.9381
Sm 0.0000 0.8757 26.3564
Sm 0.0000 0.8757 31.5199
Sm 0.0000 2.6272 1.5523
Sm 0.0000 2.6272 6.7158
Sm 1.7515 0.8757 18.0883
Sm 1.7515 0.8757 23.2518
Sm 1.7515 2.6272 9.8203
Sm 1.7515 2.6272 14.9838
```

Properties
* spin magnetization: 0.00 μB/f.u.
* DFT total energy: -4.55 eV/atom

=====

[6]
The following is a DFT calculation (PBE-GGA) of crystalline Tb8Sm3 at its relaxed geometry.

Geometry as extended XYZ:
```
11
Lattice="1.7889 1.0328 32.0685 -1.7889 1.0328 32.0685 0.0000 -2.0657 32.0685" Properties=species:S:1:pos:R:3 pbc="T T T"
Tb 0.0000 0.0000 4.3446
Tb 0.0000 0.0000 13.1032
Tb 0.0000 0.0000 30.6187
Tb 0.0000 0.0000 39.3047
Tb 0.0000 0.0000 56.9007
Tb 0.0000 0.0000 65.5867
Tb 0.0000 0.0000 83.1022
Tb 0.0000 0.0000 91.8608
Sm 0.0000 0.0000 21.8958
Sm 0.0000 0.0000 48.1027
Sm 0.0000 0.0000 74.3096
```

Properties
* spin magnetization: 0.00 μB/f.u.
* DFT total energy: -4.64 eV/atom